a:
{
  "formula": "MgSe2BrN",
  "functional": "GGA-PBE",
  "state": "relaxed",
  "dos_ef_per_ev_atom": 0.7774,
  "space_group": "No. 123",
  "crystal_system": "tetragonal",
  "magnetic_moment_mub_per_fu": 0.0,
  "cell": [[5.321, 0.000, 0.000], [0.000, 5.321, 0.000], [0.000, 0.000, 3.782]],
  "species": ["Br", "Se", "Se", "Mg", "N"],
  "fractional_positions": [[0.000, 0.000, 0.000], [0.500, 0.000, 0.000], [0.000, 0.500, 0.000], [0.500, 0.500, 0.500], [0.000, 0.000, 0.500]]
}

---

b:
{
  "formula": "MgSe2BrN",
  "functional": "GGA-PBE",
  "state": "relaxed",
  "dos_ef_per_ev_atom": 0.6549,
  "space_group": "No. 123",
  "crystal_system": "tetragonal",
  "magnetic_moment_mub_per_fu": 5.4,
  "cell": [[5.219, 0.000, 0.000], [0.000, 5.219, 0.000], [0.000, 0.000, 5.375]],
  "species": ["N", "Se", "Se", "Br", "Mg"],
  "fractional_positions": [[0.500, 0.500, 0.500], [0.000, 0.500, 0.000], [0.500, 0.000, 0.000], [0.000, 0.000, 0.500], [0.000, 0.000, 0.000]]
}

---

b has the most favorable energy; the next structure is 54 meV/atom above.

---

a:
{
  "formula": "MgSeBr2N",
  "functional": "GGA-PBE",
  "state": "relaxed",
  "dos_ef_per_ev_atom": 0.3214,
  "space_group": "No. 123",
  "crystal_system": "tetragonal",
  "magnetic_moment_mub_per_fu": 5.0,
  "cell": [[-0.195, -0.019, 5.318], [-4.694, -2.502, -0.181], [2.517, -4.728, 0.075]],
  "species": ["N", "Br", "Br", "Mg", "Se"],
  "fractional_positions": [[0.500, 0.500, 0.500], [0.500, 0.000, 0.000], [0.000, 0.500, 0.000], [0.000, 0.000, 0.000], [0.000, 0.000, 0.500]]
}

---

b:
{
  "formula": "MgSeBr2N",
  "functional": "GGA-PBE",
  "state": "relaxed",
  "dos_ef_per_ev_atom": 0.2041,
  "space_group": "No. 123",
  "crystal_system": "tetragonal",
  "magnetic_moment_mub_per_fu": 0.0,
  "cell": [[-1.417, 4.006, 1.575], [-0.305, -1.747, 4.170], [4.636, 1.294, 0.881]],
  "species": ["Br", "Br", "Mg", "N", "Se"],
  "fractional_positions": [[0.000, 0.500, 0.000], [0.500, 0.000, 0.000], [0.500, 0.500, 0.500], [0.000, 0.000, 0.000], [0.000, 0.000, 0.500]]
}

---

b has the most favorable energy; the next structure is 138 meV/atom above.

---

a:
{
  "formula": "NaMg2Br2",
  "functional": "GGA-PBE",
  "state": "relaxed",
  "dos_ef_per_ev_atom": 0.2644,
  "space_group": "No. 127",
  "crystal_system": "tetragonal",
  "magnetic_moment_mub_per_fu": 0.0,
  "cell": [[-8.418, -2.846, -4.196], [4.329, -8.268, -3.077], [-1.019, -1.732, 3.219]],
  "species": ["Mg", "Mg", "Mg", "Mg", "Br", "Br", "Br", "Br", "Na", "Na"],
  "fractional_positions": [[0.102, 0.398, 0.000], [0.398, 0.898, 0.000], [0.898, 0.602, 0.000], [0.602, 0.102, 0.000], [0.266, 0.766, 0.500], [0.734, 0.234, 0.500], [0.234, 0.266, 0.500], [0.766, 0.734, 0.500], [0.000, 0.000, 0.000], [0.500, 0.500, 0.000]]
}

---

b:
{
  "formula": "NaMg2Br2",
  "functional": "GGA-PBE",
  "state": "relaxed",
  "dos_ef_per_ev_atom": 0.5966,
  "space_group": "No. 139",
  "crystal_system": "tetragonal",
  "magnetic_moment_mub_per_fu": 0.0,
  "cell": [[4.982, 0.000, 0.000], [0.000, 4.982, 0.000], [2.491, 2.491, 5.904]],
  "species": ["Na", "Br", "Br", "Mg", "Mg"],
  "fractional_positions": [[0.000, 0.000, 0.000], [0.750, 0.250, 0.500], [0.250, 0.750, 0.500], [0.621, 0.621, 0.759], [0.379, 0.379, 0.241]]
}

---

b has the most favorable energy; the next structure is 52 meV/atom above.

---

a:
{
  "formula": "NaMgSeBr2",
  "functional": "GGA-PBE",
  "state": "relaxed",
  "dos_ef_per_ev_atom": 0.6782,
  "space_group": "No. 123",
  "crystal_system": "tetragonal",
  "magnetic_moment_mub_per_fu": 1.0,
  "cell": [[-0.177, -0.768, -5.321], [3.538, -4.024, 0.463], [-3.889, -3.349, 0.612]],
  "species": ["Br", "Br", "Na", "Se", "Mg"],
  "fractional_positions": [[0.500, 0.000, 0.000], [0.000, 0.500, 0.000], [0.500, 0.500, 0.500], [0.000, 0.000, 0.500], [0.000, 0.000, 0.000]]
}

---

b:
{
  "formula": "NaMgSeBr2",
  "functional": "GGA-PBE",
  "state": "relaxed",
  "dos_ef_per_ev_atom": 0.6410,
  "space_group": "No. 123",
  "crystal_system": "tetragonal",
  "magnetic_moment_mub_per_fu": 1.0,
  "cell": [[-1.085, -4.484, -2.442], [3.098, 1.406, -3.959], [4.276, -2.394, 2.497]],
  "species": ["Mg", "Se", "Na", "Br", "Br"],
  "fractional_positions": [[0.500, 0.500, 0.500], [0.000, 0.000, 0.500], [0.000, 0.000, 0.000], [0.000, 0.500, 0.000], [0.500, 0.000, 0.000]]
}

---

a has the most favorable energy; the next structure is 682 meV/atom above.

---

a:
{
  "formula": "MgNbBr6",
  "functional": "GGA-PBE",
  "state": "relaxed",
  "dos_ef_per_ev_atom": 0.2294,
  "space_group": "No. 12",
  "crystal_system": "monoclinic",
  "magnetic_moment_mub_per_fu": 1.0,
  "cell": [[6.282, -1.536, -1.665], [-3.670, 6.302, -2.228], [0.888, 0.787, 7.298]],
  "species": ["Br", "Br", "Br", "Br", "Br", "Br", "Mg", "Nb"],
  "fractional_positions": [[0.137, 0.888, 0.275], [0.863, 0.112, 0.725], [0.138, 0.387, 0.275], [0.862, 0.613, 0.725], [0.461, 0.731, 0.000], [0.539, 0.269, 0.000], [0.000, 0.000, 0.000], [0.000, 0.500, 0.000]]
}

---

b:
{
  "formula": "MgNbBr6",
  "functional": "GGA-PBE",
  "state": "relaxed",
  "dos_ef_per_ev_atom": 0.6385,
  "space_group": "No. 148",
  "crystal_system": "trigonal",
  "magnetic_moment_mub_per_fu": 1.0,
  "cell": [[-0.453, -0.264, -6.680], [-3.180, -5.113, -2.941], [-6.372, 1.286, -2.978]],
  "species": ["Br", "Br", "Br", "Br", "Br", "Br", "Mg", "Nb"],
  "fractional_positions": [[0.090, 0.397, 0.753], [0.603, 0.240, 0.247], [0.760, 0.090, 0.753], [0.397, 0.760, 0.753], [0.910, 0.603, 0.247], [0.240, 0.910, 0.247], [0.500, 0.500, 0.500], [0.000, 0.000, 0.000]]
}

---

a has the most favorable energy; the next structure is 42 meV/atom above.

---

a:
{
  "formula": "MgNbSeBr2",
  "functional": "GGA-PBE",
  "state": "relaxed",
  "dos_ef_per_ev_atom": 1.0169,
  "space_group": "No. 123",
  "crystal_system": "tetragonal",
  "magnetic_moment_mub_per_fu": 3.0,
  "cell": [[4.966, 0.000, 0.000], [0.000, 4.966, 0.000], [0.000, 0.000, 5.332]],
  "species": ["Mg", "Se", "Br", "Br", "Nb"],
  "fractional_positions": [[0.000, 0.000, 0.000], [0.000, 0.000, 0.500], [0.000, 0.500, 0.000], [0.500, 0.000, 0.000], [0.500, 0.500, 0.500]]
}

---

b:
{
  "formula": "MgNbSeBr2",
  "functional": "GGA-PBE",
  "state": "relaxed",
  "dos_ef_per_ev_atom": 0.7711,
  "space_group": "No. 123",
  "crystal_system": "tetragonal",
  "magnetic_moment_mub_per_fu": 1.9,
  "cell": [[5.336, 0.000, 0.000], [0.000, 5.336, 0.000], [0.000, 0.000, 5.057]],
  "species": ["Br", "Br", "Mg", "Se", "Nb"],
  "fractional_positions": [[0.000, 0.500, 0.000], [0.500, 0.000, 0.000], [0.500, 0.500, 0.500], [0.000, 0.000, 0.500], [0.000, 0.000, 0.000]]
}

---

b has the most favorable energy; the next structure is 319 meV/atom above.

---

a:
{
  "formula": "Mg2ZrNbBr",
  "functional": "GGA-PBE",
  "state": "relaxed",
  "dos_ef_per_ev_atom": 0.7104,
  "space_group": "No. 123",
  "crystal_system": "tetragonal",
  "magnetic_moment_mub_per_fu": 1.8,
  "cell": [[-3.209, -2.181, -3.960], [4.057, -1.500, -2.461], [-0.115, -4.816, 2.746]],
  "species": ["Nb", "Mg", "Mg", "Br", "Zr"],
  "fractional_positions": [[0.000, 0.000, 0.000], [0.500, 0.000, 0.000], [0.000, 0.000, 0.500], [0.500, 0.500, 0.500], [0.000, 0.500, 0.000]]
}

---

b:
{
  "formula": "Mg2ZrNbBr",
  "functional": "GGA-PBE",
  "state": "relaxed",
  "dos_ef_per_ev_atom": 0.9326,
  "space_group": "No. 123",
  "crystal_system": "tetragonal",
  "magnetic_moment_mub_per_fu": 1.4,
  "cell": [[5.342, 0.000, 0.000], [0.000, 4.821, 0.000], [0.000, 0.000, 5.342]],
  "species": ["Mg", "Mg", "Br", "Nb", "Zr"],
  "fractional_positions": [[0.500, 0.000, 0.000], [0.000, 0.000, 0.500], [0.000, 0.500, 0.000], [0.000, 0.000, 0.000], [0.500, 0.500, 0.500]]
}

---

a has the most favorable energy; the next structure is 252 meV/atom above.

---

a:
{
  "formula": "Mg3NiBr",
  "functional": "GGA-PBE",
  "state": "relaxed",
  "dos_ef_per_ev_atom": 0.5171,
  "space_group": "No. 221",
  "crystal_system": "cubic",
  "magnetic_moment_mub_per_fu": 0.0,
  "cell": [[-3.912, 1.643, -2.690], [-2.139, -4.533, 0.342], [-2.315, 1.412, 4.229]],
  "species": ["Br", "Ni", "Mg", "Mg", "Mg"],
  "fractional_positions": [[0.000, 0.000, 0.000], [0.500, 0.500, 0.500], [0.500, 0.000, 0.000], [0.000, 0.500, 0.000], [0.000, 0.000, 0.500]]
}

---

b:
{
  "formula": "Mg3NiBr",
  "functional": "GGA-PBE",
  "state": "relaxed",
  "dos_ef_per_ev_atom": 0.4358,
  "space_group": "No. 221",
  "crystal_system": "cubic",
  "magnetic_moment_mub_per_fu": 0.0,
  "cell": [[4.950, 0.000, 0.000], [0.000, 4.950, 0.000], [0.000, 0.000, 4.950]],
  "species": ["Mg", "Mg", "Mg", "Br", "Ni"],
  "fractional_positions": [[0.000, 0.000, 0.500], [0.500, 0.000, 0.000], [0.000, 0.500, 0.000], [0.500, 0.500, 0.500], [0.000, 0.000, 0.000]]
}

---

b has the most favorable energy; the next structure is 784 meV/atom above.

---

a:
{
  "formula": "Mg2NiBr",
  "functional": "GGA-PBE",
  "state": "relaxed",
  "dos_ef_per_ev_atom": 0.2988,
  "space_group": "No. 12",
  "crystal_system": "monoclinic",
  "magnetic_moment_mub_per_fu": 0.0,
  "cell": [[-5.776, 2.855, 3.074], [0.031, -2.693, -4.099], [-2.034, -2.024, 1.321]],
  "species": ["Mg", "Mg", "Ni", "Br"],
  "fractional_positions": [[0.000, 0.000, 0.000], [0.500, 0.000, 0.500], [0.000, 0.500, 0.500], [0.500, 0.500, 0.000]]
}

---

b:
{
  "formula": "Mg2NiBr",
  "functional": "GGA-PBE",
  "state": "relaxed",
  "dos_ef_per_ev_atom": 0.3711,
  "space_group": "No. 65",
  "crystal_system": "orthorhombic",
  "magnetic_moment_mub_per_fu": 0.0,
  "cell": [[-0.743, -3.113, 0.601], [2.522, -0.213, 2.049], [-4.240, 2.060, 5.431]],
  "species": ["Mg", "Mg", "Br", "Ni"],
  "fractional_positions": [[0.000, 0.000, 0.050], [0.000, 0.000, 0.450], [0.500, 0.500, 0.750], [0.500, 0.500, 0.250]]
}

---

c:
{
  "formula": "Mg2NiBr",
  "functional": "GGA-PBE",
  "state": "relaxed",
  "dos_ef_per_ev_atom": 0.3746,
  "space_group": "No. 8",
  "crystal_system": "monoclinic",
  "magnetic_moment_mub_per_fu": 0.0,
  "cell": [[-6.466, 2.233, 3.621], [-7.649, 0.634, 0.997], [0.671, -2.878, 1.451]],
  "species": ["Mg", "Mg", "Ni", "Br"],
  "fractional_positions": [[0.024, 0.024, 0.026], [0.832, 0.832, 0.829], [0.432, 0.432, 0.433], [0.212, 0.212, 0.213]]
}

---

c has the most favorable energy; the next structure is 46 meV/atom above.

---

a:
{
  "formula": "Mg2NiBr",
  "functional": "GGA-PBE",
  "state": "relaxed",
  "dos_ef_per_ev_atom": 1.0910,
  "space_group": "No. 71",
  "crystal_system": "orthorhombic",
  "magnetic_moment_mub_per_fu": 0.2,
  "cell": [[-4.610, -0.288, -3.004], [1.644, -3.474, -3.948], [-1.178, 0.499, 5.359]],
  "species": ["Br", "Mg", "Mg", "Ni"],
  "fractional_positions": [[0.250, 0.750, 0.500], [0.987, 0.987, 0.000], [0.513, 0.513, 0.000], [0.750, 0.250, 0.500]]
}

---

b:
{
  "formula": "Mg2NiBr",
  "functional": "GGA-PBE",
  "state": "relaxed",
  "dos_ef_per_ev_atom": 0.4734,
  "space_group": "No. 12",
  "crystal_system": "monoclinic",
  "magnetic_moment_mub_per_fu": 0.0,
  "cell": [[3.726, 0.002, -0.031], [1.977, 3.158, -0.031], [1.930, 1.069, 7.054]],
  "species": ["Mg", "Mg", "Br", "Ni"],
  "fractional_positions": [[0.490, 0.490, 0.550], [0.010, 0.010, 0.950], [0.250, 0.250, 0.250], [0.750, 0.750, 0.750]]
}

---

c:
{
  "formula": "Mg2NiBr",
  "functional": "GGA-PBE",
  "state": "relaxed",
  "dos_ef_per_ev_atom": 0.5408,
  "space_group": "No. 122",
  "crystal_system": "tetragonal",
  "magnetic_moment_mub_per_fu": 0.0,
  "cell": [[-1.720, -1.086, -6.734], [-5.981, -3.098, 2.028], [-5.521, 1.078, -2.438]],
  "species": ["Mg", "Mg", "Mg", "Mg", "Ni", "Ni", "Br", "Br"],
  "fractional_positions": [[0.375, 0.400, 0.750], [0.875, 0.850, 0.750], [0.150, 0.625, 0.250], [0.600, 0.125, 0.250], [0.250, 0.750, 0.500], [0.500, 0.500, 0.000], [0.000, 0.000, 0.000], [0.750, 0.250, 0.500]]
}

---

d:
{
  "formula": "Mg2NiBr",
  "functional": "GGA-PBE",
  "state": "relaxed",
  "dos_ef_per_ev_atom": 0.2936,
  "space_group": "No. 123",
  "crystal_system": "tetragonal",
  "magnetic_moment_mub_per_fu": 0.0,
  "cell": [[4.856, 0.000, 0.000], [0.000, 4.857, 0.000], [0.000, 0.000, 3.185]],
  "species": ["Mg", "Mg", "Br", "Ni"],
  "fractional_positions": [[0.500, 0.500, 0.000], [0.000, 0.000, 0.000], [0.000, 0.500, 0.500], [0.500, 0.000, 0.500]]
}

---

b has the most favorable energy; the next structure is 138 meV/atom above.

---

a:
{
  "formula": "Mg2NiBr",
  "functional": "GGA-PBE",
  "state": "relaxed",
  "dos_ef_per_ev_atom": 0.3776,
  "space_group": "No. 225",
  "crystal_system": "cubic",
  "magnetic_moment_mub_per_fu": 0.0,
  "cell": [[0.000, 3.387, 3.387], [3.387, 0.000, 3.387], [3.387, 3.387, 0.000]],
  "species": ["Ni", "Mg", "Mg", "Br"],
  "fractional_positions": [[0.000, 0.000, 0.000], [0.250, 0.250, 0.250], [0.750, 0.750, 0.750], [0.500, 0.500, 0.500]]
}

---

b:
{
  "formula": "Mg2NiBr",
  "functional": "GGA-PBE",
  "state": "relaxed",
  "dos_ef_per_ev_atom": 0.4885,
  "space_group": "No. 25",
  "crystal_system": "orthorhombic",
  "magnetic_moment_mub_per_fu": 0.0,
  "cell": [[-3.163, -0.961, -1.377], [1.636, -2.329, -2.133], [-0.661, -5.137, 5.102]],
  "species": ["Ni", "Br", "Mg", "Mg"],
  "fractional_positions": [[0.000, 0.000, 0.347], [0.500, 0.500, 0.827], [0.500, 0.500, 0.314], [0.000, 0.000, 0.012]]
}

---

b has the most favorable energy; the next structure is 296 meV/atom above.

---

a:
{
  "formula": "Mg2NiBr",
  "functional": "GGA-PBE",
  "state": "relaxed",
  "dos_ef_per_ev_atom": 0.3589,
  "space_group": "No. 44",
  "crystal_system": "orthorhombic",
  "magnetic_moment_mub_per_fu": 0.0,
  "cell": [[-5.829, 4.799, 2.807], [-6.451, 4.414, -1.945], [4.739, -6.514, -0.011]],
  "species": ["Mg", "Mg", "Br", "Ni"],
  "fractional_positions": [[0.990, 0.990, 0.000], [0.679, 0.179, 0.500], [0.280, 0.780, 0.500], [0.550, 0.550, 0.000]]
}

---

b:
{
  "formula": "Mg2NiBr",
  "functional": "GGA-PBE",
  "state": "relaxed",
  "dos_ef_per_ev_atom": 0.5428,
  "space_group": "No. 139",
  "crystal_system": "tetragonal",
  "magnetic_moment_mub_per_fu": 0.0,
  "cell": [[5.175, -0.003, 0.000], [1.785, 4.857, 0.000], [-3.480, -2.427, 2.963]],
  "species": ["Ni", "Mg", "Mg", "Br"],
  "fractional_positions": [[0.250, 0.750, 0.500], [0.500, 0.500, 0.000], [0.000, 0.000, 0.000], [0.750, 0.250, 0.500]]
}

---

c:
{
  "formula": "Mg2NiBr",
  "functional": "GGA-PBE",
  "state": "relaxed",
  "dos_ef_per_ev_atom": 0.5439,
  "space_group": "No. 119",
  "crystal_system": "tetragonal",
  "magnetic_moment_mub_per_fu": 0.0,
  "cell": [[6.123, 0.016, 0.000], [3.725, 4.860, 0.000], [-4.924, -2.438, 2.702]],
  "species": ["Mg", "Mg", "Ni", "Br"],
  "fractional_positions": [[0.000, 0.000, 0.000], [0.250, 0.750, 0.500], [0.500, 0.500, 0.000], [0.750, 0.250, 0.500]]
}

---

d:
{
  "formula": "Mg2NiBr",
  "functional": "GGA-PBE",
  "state": "relaxed",
  "dos_ef_per_ev_atom": 0.3555,
  "space_group": "No. 6",
  "crystal_system": "monoclinic",
  "magnetic_moment_mub_per_fu": 0.0,
  "cell": [[3.547, 0.000, 0.000], [0.000, 3.400, 0.068], [0.000, 1.427, 7.320]],
  "species": ["Mg", "Mg", "Br", "Ni"],
  "fractional_positions": [[0.000, 0.290, 0.031], [0.500, 0.110, 0.419], [0.500, 0.429, 0.759], [0.000, 0.671, 0.291]]
}

---

d has the most favorable energy; the next structure is 11 meV/atom above.